[1]
DFT (PBE-GGA) results for crystalline Yb3SiO at its relaxed geometry.

The structure in POSCAR format:
```
Yb3SiO
1.0
6.7287 0.0000 0.0000
0.0000 6.5850 0.0000
0.0000 0.0000 9.4803
Yb Si O
12 4 4
Direct
0.7941 0.2049 0.9681
0.2059 0.7951 0.4681
0.9883 0.5618 0.7500
0.2941 0.2951 0.9681
0.2059 0.7951 0.0319
0.2941 0.2951 0.5319
0.0117 0.4382 0.2500
0.4883 0.9382 0.7500
0.5117 0.0618 0.2500
0.7941 0.2049 0.5319
0.7059 0.7049 0.4681
0.7059 0.7049 0.0319
0.5417 0.4874 0.7500
0.9583 0.9874 0.2500
0.4583 0.5126 0.2500
0.0417 0.0126 0.7500
0.0000 0.5000 0.5000
0.5000 0.0000 0.0000
0.5000 0.0000 0.5000
0.0000 0.5000 0.0000
```

Properties
* E_form (uncorrected): -1482 meV/atom
* energy above the lowest structure with this stoichiometry: 0.00 eV/f.u.
* M_tot: 0.1243 μB per atom
* crystal system: orthorhombic

[2]
DFT (PBE-GGA) results for crystalline ZnSiO2 at its relaxed geometry.

The structure in POSCAR format:
```
ZnSiO2
1.0
3.3836 -1.3679 1.4241
0.2658 -1.0261 3.7715
0.3265 -3.7780 0.9838
Zn Si O
1 1 2
Direct
0.5000 0.5000 0.5000
0.0000 0.0000 0.0000
0.2500 0.2500 0.2500
0.7500 0.7500 0.7500
```

Properties
* E_form (uncorrected): -277 meV/atom
* energy above the lowest structure with this stoichiometry: 5.79 eV/f.u.
* M_tot: 0.0000 μB per atom
* crystal system: cubic

[3]
DFT (PBE-GGA) results for crystalline ZnSiO2 at its relaxed geometry.

The structure in POSCAR format:
```
ZnSiO2
1.0
-3.9621 1.1447 6.6830
-1.9967 -0.4240 7.5831
-1.6086 2.2093 7.3622
Zn Si O
1 1 2
Direct
0.0000 0.0000 0.0000
0.5000 0.5000 0.5000
0.8731 0.8731 0.8731
0.1269 0.1269 0.1269
```

Properties
* E_form (uncorrected): -1724 meV/atom
* energy above the lowest structure with this stoichiometry: 0.00 eV/f.u.
* M_tot: 0.0000 μB per atom
* crystal system: trigonal

[4]
DFT (PBE-GGA) results for crystalline Zn2SiO4 at its relaxed geometry.

The structure in POSCAR format:
```
Zn2SiO4
1.0
-0.8201 2.4989 7.3247
-4.3818 6.2220 -1.6292
-0.7120 -7.7148 -0.7375
Zn Si O
8 4 16
Direct
0.0000 0.0000 0.0000
0.5000 0.5000 0.0000
0.2817 0.2500 0.0317
0.7183 0.7500 0.9683
0.8753 0.3753 0.0000
0.1247 0.1247 0.5000
0.8753 0.8753 0.5000
0.1247 0.6247 0.0000
0.5041 0.1208 0.3833
0.4959 0.8792 0.6167
0.2375 0.6208 0.6167
0.7625 0.3792 0.3833
0.0375 0.2500 0.7875
0.9625 0.7500 0.2125
0.5366 0.2500 0.2866
0.4634 0.7500 0.7134
0.7452 0.4874 0.2578
0.2548 0.5126 0.7422
0.7296 0.9874 0.7422
0.2704 0.0126 0.2578
0.1316 0.3868 0.2726
0.8684 0.1410 0.2552
0.6143 0.8868 0.2552
0.3857 0.6410 0.2726
0.8684 0.6132 0.7274
0.1316 0.8590 0.7448
0.3857 0.1132 0.7448
0.6143 0.3590 0.7274
```

Properties
* E_form (uncorrected): -1922 meV/atom
* M_tot: 0.0000 μB per atom
* crystal system: orthorhombic

[5]
DFT (PBE-GGA) results for crystalline ZnSi3O at its relaxed geometry.

The structure in POSCAR format:
```
ZnSi3O
1.0
-2.0759 0.1557 3.6341
-0.6509 -4.1326 -0.1948
3.5787 -0.6614 2.0726
Zn Si O
1 3 1
Direct
0.5000 0.5000 0.5000
0.0000 0.5000 0.0000
0.0000 0.0000 0.5000
0.5000 0.0000 0.0000
0.0000 0.0000 0.0000
```

Properties
* E_form (uncorrected): 255 meV/atom
* energy above the lowest structure with this stoichiometry: 0.00 eV/f.u.
* M_tot: 0.0000 μB per atom
* crystal system: cubic

[6]
DFT (PBE-GGA) results for crystalline Zn2SiO4 at its relaxed geometry.

The structure in POSCAR format:
```
Zn2SiO4
1.0
0.0000 4.1283 4.1283
4.1283 0.0000 4.1283
4.1283 4.1283 0.0000
Zn Si O
4 2 8
Direct
0.6250 0.1250 0.1250
0.1250 0.1250 0.6250
0.1250 0.1250 0.1250
0.1250 0.6250 0.1250
0.5000 0.5000 0.5000
0.7500 0.7500 0.7500
0.8673 0.3981 0.8673
0.8673 0.8673 0.3981
0.8519 0.3827 0.3827
0.8673 0.8673 0.8673
0.3827 0.8519 0.3827
0.3981 0.8673 0.8673
0.3827 0.3827 0.8519
0.3827 0.3827 0.3827
```

Properties
* E_form (uncorrected): -1899 meV/atom
* M_tot: 0.0000 μB per atom
* crystal system: cubic

[7]
DFT (PBE-GGA) results for crystalline Zn2SiO4 at its relaxed geometry.

The structure in POSCAR format:
```
Zn2SiO4
1.0
5.1530 0.0000 0.0000
0.0000 6.7534 0.0000
0.0000 0.0000 10.4430
Zn Si O
8 4 16
Direct
0.6801 0.9998 0.6557
0.8199 0.5002 0.1557
0.3199 0.4998 0.3443
0.1801 0.0002 0.8443
0.3199 0.0002 0.3443
0.1801 0.4998 0.8443
0.6801 0.5002 0.6557
0.8199 0.9998 0.1557
0.1822 0.2500 0.5937
0.3178 0.2500 0.0937
0.8178 0.7500 0.4063
0.6822 0.7500 0.9063
0.8644 0.2500 0.6138
0.6356 0.2500 0.1138
0.1356 0.7500 0.3862
0.3644 0.7500 0.8862
0.2359 0.2500 0.9413
0.2641 0.2500 0.4413
0.7641 0.7500 0.0587
0.7359 0.7500 0.5587
0.3006 0.0505 0.6636
0.1994 0.4495 0.1636
0.6994 0.5505 0.3364
0.8006 0.9495 0.8364
0.6994 0.9495 0.3364
0.8006 0.5505 0.8364
0.3006 0.4495 0.6636
0.1994 0.0505 0.1636
```

Properties
* E_form (uncorrected): -2034 meV/atom
* M_tot: 0.0000 μB per atom
* crystal system: orthorhombic

[8]
DFT (PBE-GGA) results for crystalline ZnSi2O at its relaxed geometry.

The structure in POSCAR format:
```
ZnSi2O
1.0
-3.9322 -2.1098 0.4529
0.6481 -0.2568 4.4308
-4.4005 4.1104 3.1521
Zn Si O
2 4 2
Direct
0.0000 0.0000 0.0000
0.7500 0.2500 0.5000
0.5032 0.1250 0.2500
0.2468 0.6250 0.2500
0.3750 0.4968 0.7500
0.8750 0.7532 0.7500
0.5000 0.5000 0.0000
0.2500 0.7500 0.5000
```

Properties
* E_form (uncorrected): -228 meV/atom
* energy above the lowest structure with this stoichiometry: 0.00 eV/f.u.
* M_tot: 0.0000 μB per atom
* crystal system: tetragonal